#a
TmMnPd6, relaxed, DFT PBE; space group = No. 123; theoretical density = 11084 kg/m³; M_tot = 4.2 μB per formula unit
1.0
4.021 0.000 0.000
0.000 4.021 0.000
0.000 0.000 7.993
Tm Mn Pd
1 1 6
Cartesian
0.000 0.000 0.000
0.000 0.000 3.996
2.010 2.010 0.000
2.010 2.010 3.996
2.010 0.000 2.088
2.010 0.000 5.904
0.000 2.010 2.088
0.000 2.010 5.904

#b
TmMnPd6, relaxed, DFT PBE; space group = No. 12; theoretical density = 9652 kg/m³; M_tot = 4.6 μB per formula unit
1.0
-2.980 0.528 -3.816
1.342 -2.604 -3.890
-4.249 -5.862 -0.080
Tm Mn Pd
1 1 6
Cartesian
-2.944 -3.969 -3.893
0.000 0.000 0.000
-0.701 -3.124 -2.400
-2.804 -1.599 -2.364
-3.083 -6.339 -5.422
-5.186 -4.815 -5.386
-4.564 -6.231 -2.825
-1.323 -1.708 -4.961

Computed energies relative to the best structure, in meV/atom: #a 0; #b 321

#a
TmMnPd2, relaxed, DFT PBE; space group = No. 225; theoretical density = 10082 kg/m³; M_tot = 4.4 μB per formula unit
1.0
-0.266 3.944 -2.482
-3.627 0.726 -2.847
-3.202 3.222 1.074
Mn Tm Pd
1 1 2
Cartesian
-3.548 3.946 -2.127
0.000 0.000 0.000
-1.774 1.973 -1.064
-5.322 5.919 -3.191

#b
TmMnPd2, relaxed, DFT PBE; space group = No. 123; theoretical density = 10418 kg/m³; M_tot = 3.8 μB per formula unit
1.0
3.802 0.000 0.000
0.000 4.279 0.000
0.000 0.000 4.279
Mn Tm Pd
1 1 2
Cartesian
1.901 0.000 0.000
1.901 2.139 2.139
0.000 0.000 2.139
0.000 2.139 0.000

#c
TmMnPd2, relaxed, DFT PBE; space group = No. 123; theoretical density = 10141 kg/m³; M_tot = 4.6 μB per formula unit
1.0
3.328 0.000 0.000
0.000 3.328 0.000
0.000 0.000 6.456
Mn Tm Pd
1 1 2
Cartesian
1.664 1.664 0.000
1.664 1.664 3.228
0.000 0.000 4.988
0.000 0.000 1.468

Computed energies relative to the best structure, in meV/atom: #a 10; #b 0; #c 30

#a
Tm2MnPd, relaxed, DFT PBE; space group = No. 123; theoretical density = 10111 kg/m³; M_tot = 2.5 μB per formula unit
1.0
-0.857 2.617 2.064
-3.214 -1.212 0.202
1.771 -3.776 5.525
Mn Tm Pd
1 2 1
Cartesian
-2.036 0.702 1.133
1.329 -2.834 4.147
0.442 -0.942 1.378
-1.150 -1.186 3.895

#b
Tm2MnPd, relaxed, DFT PBE; space group = No. 225; theoretical density = 9904 kg/m³; M_tot = 3.2 μB per formula unit
1.0
4.910 0.000 0.000
2.455 4.252 0.000
2.455 1.417 4.009
Mn Tm Pd
1 2 1
Cartesian
0.000 0.000 0.000
2.455 1.417 1.002
7.365 4.252 3.007
4.910 2.835 2.004

Computed energies relative to the best structure, in meV/atom: #a 0; #b 78